1.
Material: PtI4
Method: DFT, PBE
State: optimized geometry

Cell lengths 13.906, 8.894, 6.958 Å; angles 90.00, 94.23, 90.00 degrees
Space group C2/c (No. 15)
Symmetry-distinct sites (fractional):
Pt 0.000 0.107 0.250 (multiplicity 4)
I 0.108 0.109 0.587 (multiplicity 8)
I 0.118 0.321 0.132 (multiplicity 8)

Raw formation energy ... -0.5 eV/f.u.
Excess energy over the best structure of this formula in the dataset ... 0.025 eV/atom



2.
Material: PtI4
Method: DFT, PBE
State: optimized geometry

Cell lengths 5.514, 5.514, 5.514 Å; angles 90.00, 90.00, 90.00 degrees
Space group Pm-3m (No. 221)
Symmetry-distinct sites (fractional):
Pt 0.000 0.000 0.000 (multiplicity 1)
I 0.000 0.000 0.500 (multiplicity 3)
I 0.500 0.500 0.500 (multiplicity 1)

DOS at the Fermi energy ... 6.75 states/eV/f.u.
Raw formation energy ... 1.1 eV/f.u.
Excess energy over the best structure of this formula in the dataset ... 0.332 eV/atom